The following is a DFT calculation (PBE) of a relaxed Pm3Sb2As crystal.

The structure in CIF format:
```
data_Pm3Sb2As
_chemical_formula_sum 'Pm48 Sb32 As16'
_symmetry_space_group_name_H-M 'F d d d'
_symmetry_Int_Tables_number 70
_cell_length_a 8.8325
_cell_length_b 12.4772
_cell_length_c 26.3999
_cell_angle_alpha 90.00
_cell_angle_beta 90.00
_cell_angle_gamma 90.00
loop_
_symmetry_equiv_pos_as_xyz
'x,y,z'
'-x,-y,-z'
'-x+1/4,-y+1/4,z'
'x+1/4,y+1/4,-z'
'x,-y+1/4,-z+1/4'
'-x,y+1/4,z+1/4'
'-x+1/4,y,-z+1/4'
'x+1/4,-y,z+1/4'
'x,y+1/2,z+1/2'
'-x,-y+1/2,-z+1/2'
'-x+1/4,-y+3/4,z+1/2'
'x+1/4,y+3/4,-z+1/2'
'x,-y+3/4,-z+3/4'
'-x,y+3/4,z+3/4'
'-x+1/4,y+1/2,-z+3/4'
'x+1/4,-y+1/2,z+3/4'
'x+1/2,y,z+1/2'
'-x+1/2,-y,-z+1/2'
'-x+3/4,-y+1/4,z+1/2'
'x+3/4,y+1/4,-z+1/2'
'x+1/2,-y+1/4,-z+3/4'
'-x+1/2,y+1/4,z+3/4'
'-x+3/4,y,-z+3/4'
'x+3/4,-y,z+3/4'
'x+1/2,y+1/2,z'
'-x+1/2,-y+1/2,-z'
'-x+3/4,-y+3/4,z'
'x+3/4,y+3/4,-z'
'x+1/2,-y+3/4,-z+1/4'
'-x+1/2,y+3/4,z+1/4'
'-x+3/4,y+1/2,-z+1/4'
'x+3/4,-y+1/2,z+1/4'
loop_
_atom_site_label
_atom_site_fract_x
_atom_site_fract_y
_atom_site_fract_z
Pm1 0.1114 0.3750 0.3750
Pm2 0.1190 0.3694 0.2109
Sb1 0.1250 0.1250 0.3762
Sb2 0.1250 0.1250 0.5433
As1 0.1250 0.1250 0.0416
```

Computed properties:
- uncorrected energy (eV per atom) = -5.8096
- volume (A^3/atom) = 30.306